No. 1
Here is Cd3Ag2 after structural relaxation from Alexandria. Energies are from PBE.

calculated formation energy = -33 meV/atom

```
data_Cd3Ag2
_space_group_name_H-M_alt 'I 4/m m m'
_space_group_IT_number 139
_space_group_name_Hall '-I 4 2'
_cell_length_a 3.115
_cell_length_b 3.115
_cell_length_c 20.481
_cell_angle_alpha 90.00
_cell_angle_beta 90.00
_cell_angle_gamma 90.00
loop_
_atom_site_label
_atom_site_fract_x
_atom_site_fract_y
_atom_site_fract_z
_atom_site_occupancy
Cd1 0.000 0.000 0.000 1
Cd2 0.000 0.000 0.195 1
Ag1 0.000 0.000 0.403 1
```

No. 2
Here is LaReTc after structural relaxation from Alexandria. Energies are from PBE.

calculated formation energy = 676 meV/atom

```
data_LaReTc
_space_group_name_H-M_alt 'P 3 m 1'
_space_group_IT_number 156
_cell_length_a 4.6499
_cell_length_b 4.6499
_cell_length_c 3.0090
_cell_angle_alpha 90.00
_cell_angle_beta 90.00
_cell_angle_gamma 120.00
loop_
_space_group_symop_operation_xyz
'x,y,z'
'-y,x-y,z'
'-x+y,-x,z'
'-y,-x,z'
'-x+y,y,z'
'x,x-y,z'
loop_
_atom_site_label
_atom_site_fract_x
_atom_site_fract_y
_atom_site_fract_z
_atom_site_occupancy
La1 0.0000 0.0000 0.0000 1
Re1 0.6667 0.3333 0.3464 1
Tc1 0.3333 0.6667 0.6786 1
```

No. 3
Here is Sr2MgCoPb after structural relaxation from Alexandria. Energies are from PBE.

calculated formation energy = 458 meV/atom

```
data_Sr2MgCoPb
_space_group_name_H-M_alt 'P 4/m m m'
_space_group_IT_number 123
_space_group_name_Hall '-P 4 2'
_cell_length_a 6.169
_cell_length_b 6.169
_cell_length_c 4.568
_cell_angle_alpha 90.00
_cell_angle_beta 90.00
_cell_angle_gamma 90.00
loop_
_atom_site_label
_atom_site_fract_x
_atom_site_fract_y
_atom_site_fract_z
_atom_site_occupancy
Sr1 0.000 0.500 0.000 1
Mg1 0.000 0.000 0.000 1
Co1 0.000 0.000 0.500 1
Pb1 0.500 0.500 0.500 1
```

No. 4
Here is Pr2Cu3Ru after structural relaxation from Alexandria. Energies are from PBE.

calculated formation energy = -128 meV/atom

```
data_Pr2Cu3Ru
_space_group_name_H-M_alt 'C 1 m 1'
_space_group_IT_number 8
_cell_length_a 10.339
_cell_length_b 4.298
_cell_length_c 7.305
_cell_angle_alpha 90.00
_cell_angle_beta 132.70
_cell_angle_gamma 90.00
loop_
_space_group_symop_operation_xyz
'x,y,z'
'x,-y,z'
'x+1/2,y+1/2,z'
'x+1/2,-y+1/2,z'
loop_
_atom_site_label
_atom_site_fract_x
_atom_site_fract_y
_atom_site_fract_z
_atom_site_occupancy
Pr1 0.000 0.000 0.000 1
Pr2 0.081 0.000 0.582 1
Cu1 0.201 0.500 0.394 1
Cu2 0.369 0.000 0.564 1
Cu3 0.372 0.000 0.173 1
Ru1 0.184 0.500 0.974 1
```

No. 5
Here is Ac2ZnGa4Ge3 after structural relaxation from Alexandria. Energies are from PBE.

calculated formation energy = -389 meV/atom

```
data_Ac2ZnGa4Ge3
_space_group_name_H-M_alt 'P -4 m 2'
_space_group_IT_number 115
_cell_length_a 4.810
_cell_length_b 4.810
_cell_length_c 9.671
_cell_angle_alpha 90.00
_cell_angle_beta 90.00
_cell_angle_gamma 90.00
loop_
_space_group_symop_operation_xyz
'x,y,z'
'y,-x,-z'
'-x,-y,z'
'-y,x,-z'
'-x,y,z'
'-y,-x,-z'
'x,-y,z'
'y,x,-z'
loop_
_atom_site_label
_atom_site_fract_x
_atom_site_fract_y
_atom_site_fract_z
_atom_site_occupancy
Ac1 0.000 0.500 0.243 1
Zn1 0.500 0.500 0.000 1
Ga1 0.000 0.000 0.500 1
Ga2 0.000 0.500 0.882 1
Ga3 0.500 0.500 0.500 1
Ge1 0.000 0.000 0.000 1
Ge2 0.000 0.500 0.618 1
```

No. 6
Here is Pr2PtBr2 after structural relaxation from Alexandria. Energies are from PBE.

E_form (uncorrected) = -7.4 eV per formula unit

```
data_Pr2PtBr2
_space_group_name_H-M_alt 'R -3 m'
_space_group_IT_number 166
_space_group_name_Hall '-R 3 2"'
_cell_length_a 4.1853
_cell_length_b 4.1853
_cell_length_c 33.3020
_cell_angle_alpha 90.00
_cell_angle_beta 90.00
_cell_angle_gamma 120.00
loop_
_atom_site_label
_atom_site_fract_x
_atom_site_fract_y
_atom_site_fract_z
_atom_site_occupancy
Pr1 0.0000 0.0000 0.1156 1
Pt1 0.0000 0.0000 0.5000 1
Br1 0.0000 0.0000 0.2766 1
```